Below is a relaxed ZrScCr3 crystal, with properties calculated at the GGA-PBEsol level.

Output
formation energy from the elements	140.4	kJ per mole of atoms
density of states at the Fermi level	5.284	states/eV/f.u.
V	20.1	A^3/atom

Lattice parameters (Å, degrees): 4.6506 4.6506 4.6506 90.00 90.00 90.00
Last column: nearest neighbours and their distance in Å.
Fractional positions:
Sc 0.5000 0.5000 0.5000  12 Cr 3.29
Cr 0.0000 0.5000 0.0000  2 Zr 2.33
Cr 0.0000 0.0000 0.5000  2 Zr 2.33
Cr 0.5000 0.0000 0.0000  2 Zr 2.33
Zr 0.0000 0.0000 0.0000  6 Cr 2.33


Below is a relaxed HgAs2OsSe crystal, with properties calculated at the GGA-PBEsol level.

Output
density of states at the Fermi level	6.222	states/eV/f.u.
formation energy (no corrections)	10.3	eV per formula unit
V	24.7	A^3/atom

Lattice parameters (Å, degrees): 4.9980 4.9741 4.9741 90.00 90.00 90.00
Last column: nearest neighbours and their distance in Å.
Fractional positions:
As 0.0000 0.0000 0.5000  2 Hg 2.49
As 0.0000 0.5000 0.0000  2 Hg 2.49
Os 0.5000 0.5000 0.5000  4 Se 3.52, 8 As 3.53
Hg 0.0000 0.0000 0.0000  4 As 2.49, 2 Se 2.50
Se 0.5000 0.0000 0.0000  2 Hg 2.50


no.,total magnetization (μB per formula unit)
1,8.68
2,2.05